Entry 1:
Material: ZnPPbF
Method: DFT, PBE-GGA
State: optimized geometry

```
32
Lattice="10.252 0.000 0.000 0.000 16.092 0.000 0.000 0.000 4.173" Properties=species:S:1:pos:R:3 pbc="T T T"
Zn 6.246 2.346 0.000
Zn 9.152 1.419 0.000
Zn 1.100 14.673 0.000
Zn 4.026 6.627 0.000
Zn 6.226 9.465 0.000
Zn 4.006 13.746 0.000
Zn 1.120 5.700 0.000
Zn 9.132 10.393 0.000
P 4.980 6.952 2.087
P 4.262 14.778 2.087
P 5.272 9.141 2.087
P 0.864 6.732 2.087
P 5.990 1.314 2.087
P 0.146 14.998 2.087
P 9.388 9.360 2.087
P 10.106 1.094 2.087
Pb 7.297 14.871 2.087
Pb 0.139 12.066 2.087
Pb 5.265 12.072 2.087
Pb 10.113 4.026 2.087
Pb 2.955 1.221 2.087
Pb 8.081 6.825 2.087
Pb 4.987 4.020 2.087
Pb 2.171 9.267 2.087
F 8.130 3.201 0.000
F 2.348 0.339 0.000
F 7.474 7.707 0.000
F 3.004 4.845 0.000
F 2.778 8.385 0.000
F 7.248 11.247 0.000
F 2.122 12.891 0.000
F 7.904 15.754 0.000
```

E above lowest polymorph: 1.09 eV per formula unit

---

Entry 2:
Material: ZnPPbF
Method: DFT, PBE-GGA
State: optimized geometry

```
16
Lattice="6.293 0.000 0.000 0.000 7.123 0.000 0.000 0.000 7.171" Properties=species:S:1:pos:R:3 pbc="T T T"
Zn 1.644 4.331 0.615
Zn 1.502 0.769 6.556
Zn 4.791 2.792 2.971
Zn 4.649 6.354 4.200
P 3.979 0.685 2.567
P 2.315 2.877 6.152
P 5.461 4.246 4.604
P 0.832 6.438 1.019
F 2.611 3.671 2.348
F 0.536 0.109 4.823
F 5.757 3.453 1.238
F 3.682 7.014 5.933
Pb 1.358 1.330 2.855
Pb 4.935 2.232 6.440
Pb 4.505 5.793 0.731
Pb 1.788 4.892 4.316
```

E above lowest polymorph: 0.45 eV per formula unit

---

Entry 3:
Material: ZnPPbF
Method: DFT, PBE-GGA
State: optimized geometry

```
8
Lattice="-4.607 0.564 0.454 -0.638 -4.536 -0.879 0.616 -1.712 8.381" Properties=species:S:1:pos:R:3 pbc="T T T"
Pb -1.004 -1.849 4.084
Pb -3.626 -3.834 3.871
Zn -3.028 -2.343 8.115
Zn -1.602 -3.339 -0.160
P -1.436 -3.802 2.103
P -3.194 -1.881 5.852
F -1.311 -0.993 -0.106
F -3.934 -2.978 -0.319
```

E above lowest polymorph: 2.07 eV per formula unit

---

Entry 4:
Material: ZnPPbF
Method: DFT, PBE-GGA
State: optimized geometry

```
8
Lattice="3.984 0.000 0.000 0.000 3.984 0.000 0.000 0.000 9.171" Properties=species:S:1:pos:R:3 pbc="T T T"
F 1.992 1.992 0.000
F 0.000 0.000 0.000
Pb 1.992 0.000 1.561
Pb 0.000 1.992 7.611
P 1.992 0.000 6.074
P 0.000 1.992 3.098
Zn 1.992 1.992 4.586
Zn 0.000 0.000 4.586
```

E above lowest polymorph: 0.11 eV per formula unit